Material: HfMn2Fe
Method: DFT, PBE-GGA
State: relaxed

Computed properties:
Total moment   0.65 μB per atom
Distance to the lowest polymorph of the same formula   0.395 eV per atom
Calculated formation energy   12.1 kcal/mol of atoms
Energy   -8.665 eV per atom

abc: 3.5611 3.5611 18.3158
angles: 90.00 90.00 90.00
Space group I-42d (No. 122)
Inequivalent atoms, fractional coordinates:
Hf: 0.0000 0.0000 0.0000 (multiplicity 4)
Mn: 0.1717 0.2500 0.6250 (multiplicity 8)
Fe: 0.0000 0.0000 0.5000 (multiplicity 4)

---

Material: Hf2MnFeMo
Method: DFT, PBE-GGA
State: relaxed

Computed properties:
Total moment   0.89 μB per atom
Calculated formation energy   28.2 kcal/mol of atoms
Energy   -8.450 eV per atom

abc: 5.0117 5.0117 4.3683
angles: 90.00 90.00 90.00
Space group P4/mmm (No. 123)
Inequivalent atoms, fractional coordinates:
Hf: 0.0000 0.5000 0.0000 (multiplicity 2)
Mn: 0.0000 0.0000 0.5000 (multiplicity 1)
Fe: 0.5000 0.5000 0.5000 (multiplicity 1)
Mo: 0.0000 0.0000 0.0000 (multiplicity 1)